Dy2HoIn3Ni3 | GGA-PBE | optimized geometry

Output
DFT total energy   -0.177 Ha/atom
Volume   182 Å³/cell

a = 3.8029 Å, b = 7.4286 Å, c = 7.4286 Å
α = 120.00°, β = 90.00°, γ = 90.00°
Atoms (fractional coordinates):
In1 0.5000 0.2555 0.2555
In2 0.5000 0.7449 0.9996
In3 0.5000 0.9996 0.7449
Ni1 0.0000 0.9997 0.9997
Ni2 0.5000 0.6665 0.3336
Ni3 0.5000 0.3336 0.6665
Dy1 0.0000 0.0000 0.4107
Dy2 0.0000 0.4107 0.0000
Ho1 0.0000 0.5894 0.5894